[1]
DFT (PBE with a Hubbard U) results for a relaxed structure of CoTcNO.

Lattice parameters (Å, degrees): 3.742 3.742 6.899 90.00 90.00 90.00
Space group P4/nmm (No. 129, origin choice 2)
Inequivalent atoms, fractional coordinates:
Co1 0.250 0.250 0.092
Tc1 0.250 0.750 0.500
N1 0.250 0.250 0.616
O1 0.250 0.750 0.000



[2]
DFT (PBE with a Hubbard U) results for a relaxed structure of CoTcNO.

Lattice parameters (Å, degrees): 3.408 3.408 6.515 90.00 90.00 90.00
Space group P4/nmm (No. 129, origin choice 2)
Inequivalent atoms, fractional coordinates:
Co1 0.250 0.750 0.000
Tc1 0.250 0.250 0.315
N1 0.250 0.250 0.856
O1 0.250 0.750 0.500



[3]
DFT (PBE with a Hubbard U) results for a relaxed structure of CoTcNO.

Lattice parameters (Å, degrees): 2.864 5.625 5.327 90.00 90.00 90.00
Space group Pmc2_1 (No. 26)
Inequivalent atoms, fractional coordinates:
Co1 0.000 0.201 0.000
Tc1 0.500 0.376 0.443
N1 0.500 0.311 0.796
O1 0.000 0.126 0.358



[4]
DFT (PBE with a Hubbard U) results for a relaxed structure of CoTcNO.

Lattice parameters (Å, degrees): 3.285 5.417 5.040 90.00 90.00 90.00
Space group Pmc2_1 (No. 26)
Inequivalent atoms, fractional coordinates:
Co1 0.000 0.121 0.000
Tc1 0.500 0.402 0.434
N1 0.000 0.220 0.379
O1 0.500 0.245 0.822



[5]
DFT (PBE with a Hubbard U) results for a relaxed structure of CoTcNO.

Lattice parameters (Å, degrees): 5.268 6.694 5.034 90.00 90.00 90.00
Space group Pca2_1 (No. 29)
Inequivalent atoms, fractional coordinates:
Co1 0.097 0.127 0.000
Tc1 0.142 0.674 0.030
N1 0.054 0.113 0.618
O1 0.000 0.404 0.151



[6]
DFT (PBE with a Hubbard U) results for a relaxed structure of CoTeNO.

Lattice parameters (Å, degrees): 3.210 6.767 5.210 90.00 90.00 90.00
Space group Pmc2_1 (No. 26)
Inequivalent atoms, fractional coordinates:
Co1 0.000 0.094 0.000
Te1 0.500 0.362 0.501
N1 0.000 0.180 0.368
O1 0.500 0.190 0.817



[7]
DFT (PBE with a Hubbard U) results for a relaxed structure of CoTeNO.

Lattice parameters (Å, degrees): 8.226 8.946 3.427 90.00 106.09 90.00
Space group Cm (No. 8)
Inequivalent atoms, fractional coordinates:
Co1 0.000 0.000 0.000
Co2 0.017 0.500 0.574
Te1 0.226 0.183 0.090
N1 0.369 0.000 0.944
N2 0.475 0.500 0.481
O1 0.144 0.317 0.623



[8]
DFT (PBE with a Hubbard U) results for a relaxed structure of CoTeNO.

Lattice parameters (Å, degrees): 6.429 7.449 5.218 90.00 90.00 90.00
Space group Pca2_1 (No. 29)
Inequivalent atoms, fractional coordinates:
Co1 0.128 0.088 0.000
Te1 0.068 0.696 0.992
N1 0.078 0.087 0.620
O1 0.063 0.323 0.158



[9]
DFT (PBE with a Hubbard U) results for a relaxed structure of CoTeNO.

Lattice parameters (Å, degrees): 3.705 3.705 7.171 90.00 90.00 90.00
Space group P4/nmm (No. 129, origin choice 2)
Inequivalent atoms, fractional coordinates:
Co1 0.250 0.750 0.000
Te1 0.250 0.250 0.309
N1 0.250 0.250 0.915
O1 0.250 0.750 0.500



[10]
DFT (PBE with a Hubbard U) results for a relaxed structure of CoTeNO.

Lattice parameters (Å, degrees): 5.647 7.882 5.204 90.00 90.00 90.00
Space group Pca2_1 (No. 29)
Inequivalent atoms, fractional coordinates:
Co1 0.060 0.093 0.000
Te1 0.065 0.635 0.019
N1 0.141 0.743 0.679
O1 0.104 0.117 0.613



[11]
DFT (PBE with a Hubbard U) results for a relaxed structure of CoTeNO.

Lattice parameters (Å, degrees): 4.262 4.262 6.709 90.00 90.00 90.00
Space group P4/nmm (No. 129, origin choice 2)
Inequivalent atoms, fractional coordinates:
Co1 0.250 0.250 0.030
Te1 0.250 0.750 0.500
N1 0.250 0.250 0.386
O1 0.250 0.750 0.000



[12]
DFT (PBE with a Hubbard U) results for a relaxed structure of CoTeNO.

Lattice parameters (Å, degrees): 3.289 5.762 5.939 90.00 90.00 90.00
Space group Pmc2_1 (No. 26)
Inequivalent atoms, fractional coordinates:
Co1 0.000 0.185 0.000
Te1 0.500 0.302 0.426
N1 0.500 0.381 0.067
O1 0.000 0.109 0.687



Number 1: total moment 0.675 μB/atom, E above lowest polymorph 227 meV per atom. Number 2: total moment 0.051 μB/atom, E above lowest polymorph 635 meV per atom. Number 3: total moment 0.316 μB/atom, E above lowest polymorph 0 meV per atom. Number 4: total moment 0.497 μB/atom, E above lowest polymorph 45 meV per atom. Number 5: total moment 0.333 μB/atom, E above lowest polymorph 137 meV per atom. Number 6: total moment 0.643 μB/atom, E above lowest polymorph 8 meV per atom. Number 7: total moment 0.333 μB/atom, E above lowest polymorph 164 meV per atom. Number 8: total moment 0.501 μB/atom, E above lowest polymorph 0 meV per atom. Number 9: total moment 0.390 μB/atom, E above lowest polymorph 452 meV per atom. Number 10: total moment 0.717 μB/atom, E above lowest polymorph 14 meV per atom. Number 11: total moment 0.704 μB/atom, E above lowest polymorph 615 meV per atom. Number 12: total moment 0.695 μB/atom, E above lowest polymorph 56 meV per atom.